A crystal of CsAgH3 relaxed with PBEsol, computed with meta-GGA SCAN.

Cell and atoms, written as extended XYZ:
```
5
Lattice="4.080 0.000 0.000 0.000 4.080 0.000 0.000 0.000 4.080" Properties=species:S:1:pos:R:3 pbc="T T T"
Cs 2.040 2.040 2.040
H 0.000 2.040 0.000
H 0.000 0.000 2.040
H 2.040 0.000 0.000
Ag 0.000 0.000 0.000
```

density of states at the Fermi level	0.2658	states/eV/atom
uncorrected energy	-15.762	eV/atom